No. 1
Tl2S5 (PBE, optimized geometry); uncorrected energy = -3.77 eV/atom; crystal system = orthorhombic; DOS(E_F) = 0.000 states/eV/f.u.; formation energy (no corrections) = -142 meV per atom
1.0
6.845 0.000 0.000
0.000 6.985 0.000
0.000 0.000 16.979
Tl S
8 20
Direct
0.066 0.180 0.355
0.203 0.390 0.966
0.297 0.610 0.466
0.434 0.820 0.855
0.566 0.320 0.645
0.703 0.110 0.034
0.797 0.890 0.534
0.934 0.680 0.145
0.043 0.743 0.328
0.071 0.630 0.696
0.075 0.380 0.627
0.078 0.929 0.975
0.242 0.174 0.145
0.258 0.826 0.645
0.422 0.071 0.475
0.425 0.620 0.127
0.429 0.370 0.196
0.457 0.257 0.828
0.543 0.757 0.672
0.571 0.870 0.304
0.575 0.120 0.373
0.578 0.571 0.025
0.742 0.326 0.855
0.758 0.674 0.355
0.922 0.429 0.525
0.925 0.880 0.873
0.929 0.130 0.804
0.957 0.243 0.172


No. 2
LiHo3Mg12 (PBE, optimized geometry); uncorrected energy = -2.22 eV/atom; crystal system = tetragonal; DOS(E_F) = 8.799 states/eV/f.u.; energy relative to the elements = -0.05 eV/atom
1.0
4.621 0.000 0.000
0.000 4.621 0.000
0.000 0.000 18.286
Li Ho Mg
1 3 12
Direct
0.000 0.000 0.000
0.000 0.000 0.241
0.000 0.000 0.500
0.000 0.000 0.759
0.000 0.500 0.114
0.000 0.500 0.371
0.000 0.500 0.629
0.000 0.500 0.886
0.500 0.000 0.114
0.500 0.000 0.371
0.500 0.000 0.629
0.500 0.000 0.886
0.500 0.500 0.000
0.500 0.500 0.239
0.500 0.500 0.500
0.500 0.500 0.761


No. 3
Ce2SmAl (PBE, optimized geometry); energy relative to the lowest polymorph listed for this composition = 0.0 meV/atom; uncorrected energy = -5.26 eV/atom; crystal system = monoclinic; DOS(E_F) = 8.966 states/eV/f.u.; energy relative to the elements = -0.17 eV/atom
1.0
6.407 0.000 0.000
0.000 4.982 0.000
-0.007 0.000 6.722
Ce Sm Al
4 2 2
Direct
0.032 0.250 0.391
0.467 0.250 0.392
0.533 0.750 0.608
0.968 0.750 0.609
0.251 0.250 0.902
0.749 0.750 0.098
0.250 0.750 0.188
0.750 0.250 0.812


No. 4
NaAgHg2H (PBE, optimized geometry); uncorrected energy = -1.54 eV/atom; crystal system = tetragonal; DOS(E_F) = 1.359 states/eV/f.u.
1.0
5.609 0.000 0.000
0.000 5.609 0.000
0.000 0.000 3.491
Na Ag Hg H
1 1 2 1
Direct
0.000 0.000 0.000
0.500 0.500 0.000
0.000 0.500 0.500
0.500 0.000 0.500
0.500 0.500 0.500


No. 5
AcTmPu2O8 (PBE, optimized geometry); uncorrected energy = -9.48 eV/atom; crystal system = tetragonal; DOS(E_F) = 12.152 states/eV/f.u.; formation energy (no corrections) = -3071 meV per atom
1.0
-2.742 2.742 5.395
2.742 -2.742 5.395
2.742 2.742 -5.395
Ac Tm Pu O
1 1 2 8
Direct
0.000 0.000 0.000
0.250 0.750 0.500
0.500 0.500 0.000
0.750 0.250 0.500
0.132 0.142 0.532
0.132 0.600 0.990
0.400 0.391 0.532
0.400 0.868 0.010
0.609 0.142 0.010
0.609 0.600 0.468
0.858 0.391 0.990
0.858 0.868 0.468


No. 6
HfTlSn2 (PBE, optimized geometry); energy relative to the lowest polymorph listed for this composition = 6.1 meV/atom; uncorrected energy = -5.11 eV/atom; crystal system = trigonal; DOS(E_F) = 2.704 states/eV/f.u.; energy relative to the elements = -0.03 eV/atom
1.0
1.638 0.945 11.189
-1.638 0.945 11.189
0.000 -1.891 11.189
Hf Tl Sn
1 1 2
Direct
0.000 0.000 0.000
0.500 0.500 0.500
0.407 0.407 0.407
0.593 0.593 0.593


No. 7
MgAlBr2 (PBE, optimized geometry); energy relative to the lowest polymorph listed for this composition = 71.0 meV/atom; uncorrected energy = -2.74 eV/atom; crystal system = monoclinic; DOS(E_F) = 1.020 states/eV/f.u.; formation energy (no corrections) = -567 meV per atom
1.0
6.102 -1.842 0.000
6.102 1.842 0.000
-1.709 0.000 5.903
Mg Al Br
1 1 2
Direct
0.000 0.000 0.000
0.622 0.622 0.782
0.330 0.330 0.851
0.586 0.586 0.347


No. 8
KBa2LiMg (PBE, optimized geometry); uncorrected energy = -1.50 eV/atom; crystal system = tetragonal; DOS(E_F) = 7.099 states/eV/f.u.; energy relative to the elements = 0.19 eV/atom
1.0
6.695 0.000 0.000
0.000 6.695 0.000
0.000 0.000 5.628
K Ba Li Mg
1 2 1 1
Direct
0.000 0.000 0.000
0.000 0.500 0.500
0.500 0.000 0.500
0.500 0.500 0.500
0.500 0.500 0.000


No. 9
Tc13Os2 (PBE, optimized geometry); uncorrected energy = -10.26 eV/atom; crystal system = triclinic; DOS(E_F) = 12.702 states/eV/f.u.; energy relative to the elements = 0.22 eV/atom
1.0
5.283 0.000 0.000
2.038 4.880 0.000
0.867 2.010 8.755
Tc Os
13 2
Direct
0.000 0.000 0.000
0.098 0.689 0.338
0.127 0.163 0.404
0.362 0.818 0.664
0.392 0.333 0.601
0.400 0.092 0.127
0.413 0.593 0.119
0.587 0.407 0.881
0.600 0.908 0.873
0.608 0.667 0.399
0.638 0.182 0.336
0.873 0.837 0.596
0.902 0.311 0.662
0.083 0.497 0.862
0.917 0.503 0.138


No. 10
Nd2AlAg (PBE, optimized geometry); uncorrected energy = -4.34 eV/atom; crystal system = tetragonal; DOS(E_F) = 4.115 states/eV/f.u.; energy relative to the elements = -0.31 eV/atom
1.0
3.660 0.000 0.000
0.000 3.660 0.000
0.000 0.000 7.816
Nd Al Ag
2 1 1
Direct
0.000 0.000 0.246
0.000 0.000 0.754
0.500 0.500 0.000
0.500 0.500 0.500


No. 11
CdBi2F11 (PBE, optimized geometry); uncorrected energy = -4.05 eV/atom; crystal system = orthorhombic; DOS(E_F) = 2.232 states/eV/f.u.; formation energy (no corrections) = -1956 meV per atom
1.0
-4.093 5.131 5.417
4.093 -5.131 5.417
4.093 5.131 -5.417
Cd Bi F
2 4 22
Direct
0.250 0.250 0.000
0.750 0.750 0.000
0.182 0.645 0.827
0.318 0.145 0.463
0.682 0.855 0.537
0.818 0.355 0.173
0.000 0.500 0.500
0.040 0.959 0.283
0.064 0.368 0.161
0.176 0.459 0.919
0.207 0.904 0.839
0.213 0.373 0.586
0.287 0.873 0.160
0.293 0.132 0.696
0.324 0.244 0.283
0.436 0.596 0.304
0.460 0.744 0.919
0.500 0.000 0.500
0.540 0.256 0.081
0.564 0.404 0.696
0.676 0.756 0.717
0.707 0.868 0.304
0.713 0.127 0.840
0.787 0.627 0.414
0.793 0.096 0.161
0.824 0.541 0.081
0.936 0.632 0.839
0.960 0.041 0.717


No. 12
Er2BeSi4Ni3 (PBE, optimized geometry); uncorrected energy = -5.95 eV/atom; crystal system = tetragonal; DOS(E_F) = 4.310 states/eV/f.u.; formation energy (no corrections) = -764 meV per atom
1.0
3.900 0.000 0.000
0.000 3.900 0.000
0.000 0.000 9.588
Er Be Si Ni
2 1 4 3
Direct
0.000 0.500 0.249
0.500 0.000 0.751
0.500 0.500 0.000
0.000 0.000 0.500
0.000 0.500 0.868
0.500 0.000 0.132
0.500 0.500 0.500
0.000 0.000 0.000
0.000 0.500 0.627
0.500 0.000 0.373